This record from Alexandria via LeMat-Bulk describes a relaxed structure of Ce5Sb2N. The functional is PBE.

Values from the calculation:
The density comes out at 7860 kg/m³. As for the space group: Fmmm, No. 69. As for the crystal system: orthorhombic. The total energy is -6.477 eV per atom. The calculation puts the energy relative to the elements, uncorrected at -0.6968 eV/atom. For the density of states at the Fermi level, the calculation gives 20.9 states/eV/f.u.

a b c (Å): 5.457 5.523 15.451
angles (deg): 90.00 90.00 119.61
Last column: magnetic moment on the atom in μB.
Fractional coordinates of all 16 atoms:
Ce (0.920, 0.841, 0.866)  0.67
Ce (0.920, 0.841, 0.634)  0.67
Ce (0.420, 0.840, 0.366)  0.67
Ce (0.420, 0.840, 0.134)  0.67
Ce (0.750, 0.500, 0.250)  0.62
Ce (0.250, 0.500, 0.750)  0.62
Ce (0.580, 0.160, 0.634)  0.67
Ce (0.580, 0.160, 0.866)  0.67
Ce (0.080, 0.159, 0.134)  0.67
Ce (0.080, 0.159, 0.366)  0.67
Sb (0.750, 0.500, 0.446)  -0.02
Sb (0.750, 0.500, 0.054)  -0.02
Sb (0.250, 0.500, 0.554)  -0.02
Sb (0.250, 0.500, 0.946)  -0.02
N (0.750, 0.500, 0.750)  -0.04
N (0.250, 0.500, 0.250)  -0.04

This record from Alexandria via LeMat-Bulk describes a relaxed structure of KZr2Tc. The functional is PBE.

Values from the calculation:
The density comes out at 3167 kg/m³. The energy relative to the lowest polymorph listed for this composition comes out at 1.0257 eV per atom. As for the space group: I4_1/amd, No. 141. As for the crystal system: tetragonal. The formation enthalpy at 0 K comes out at 4.65 eV/f.u. The total energy is -5.979 eV per atom. For the density of states at the Fermi level, the calculation gives 5.5 states/eV/f.u.

a b c (Å): 7.202 7.202 8.227
angles (deg): 64.04 64.04 90.00
Fractional coordinates of all 8 atoms:
K (0.500, 0.500, 0.000)
K (0.250, 0.750, 0.500)
Tc (0.000, 0.000, 0.000)
Tc (0.750, 0.250, 0.500)
Zr (0.875, 0.125, 0.250)
Zr (0.875, 0.625, 0.250)
Zr (0.375, 0.125, 0.750)
Zr (0.875, 0.125, 0.750)

This record from Alexandria via LeMat-Bulk describes a relaxed structure of In5Fe. The functional is PBE.

Values from the calculation:
The density comes out at 7381 kg/m³. As for the space group: P-62m, No. 189. As for the crystal system: hexagonal. The formation enthalpy at 0 K comes out at 1.76 eV/f.u. The total energy is -3.398 eV per atom. For the density of states at the Fermi level, the calculation gives 5.6 states/eV/f.u.

a b c (Å): 5.812 5.812 4.845
angles (deg): 90.00 90.00 120.00
Last column: magnetic moment on the atom in μB.
Fractional coordinates of all 6 atoms:
In (0.697, 0.000, 0.000)  -0.02
In (0.303, 0.303, 0.000)  -0.02
In (0.000, 0.697, 0.000)  -0.02
In (0.667, 0.333, 0.500)  -0.03
In (0.333, 0.667, 0.500)  -0.03
Fe (0.000, 0.000, 0.500)  2.72

This record from Alexandria via LeMat-Bulk describes a relaxed structure of Tb6Pm2NdY. The functional is PBE.

Values from the calculation:
The density comes out at 7370 kg/m³. As for the space group: C2/c, No. 15. As for the crystal system: monoclinic. The formation enthalpy at 0 K comes out at 1.19 eV/f.u. The total energy is -4.733 eV per atom. For the density of states at the Fermi level, the calculation gives 14.9 states/eV/f.u.

a b c (Å): 9.775 8.850 8.850
angles (deg): 118.38 94.55 94.55
Fractional coordinates of all 20 atoms:
Tb (0.057, 0.124, 0.746)
Tb (0.443, 0.254, 0.876)
Tb (0.943, 0.876, 0.254)
Tb (0.557, 0.746, 0.124)
Tb (0.315, 0.972, 0.423)
Tb (0.185, 0.577, 0.028)
Tb (0.685, 0.028, 0.577)
Tb (0.815, 0.423, 0.972)
Tb (0.121, 0.709, 0.501)
Tb (0.379, 0.499, 0.291)
Tb (0.879, 0.291, 0.499)
Tb (0.621, 0.501, 0.709)
Pm (0.459, 0.810, 0.704)
Pm (0.041, 0.296, 0.190)
Pm (0.541, 0.190, 0.296)
Pm (0.959, 0.704, 0.810)
Nd (0.250, 0.406, 0.594)
Nd (0.750, 0.594, 0.406)
Y (0.250, 0.981, 0.019)
Y (0.750, 0.019, 0.981)

This record from Alexandria via LeMat-Bulk describes a relaxed structure of Ac3CuN. The functional is PBE.

Values from the calculation:
The density comes out at 8548 kg/m³. The energy relative to the lowest polymorph listed for this composition comes out at 0.0777 eV per atom. As for the space group: Pm-3m, No. 221. As for the crystal system: cubic. The total energy is -5.261 eV per atom. The calculation puts the energy relative to the elements, uncorrected at -0.3113 eV/atom. For the density of states at the Fermi level, the calculation gives 4.4 states/eV/f.u.

a b c (Å): 5.282 5.282 5.282
angles (deg): 90.00 90.00 90.00
Fractional coordinates of all 5 atoms:
Ac (0.000, 0.500, 0.000)
Ac (0.000, 0.000, 0.500)
Ac (0.500, 0.000, 0.000)
Cu (0.500, 0.500, 0.500)
N (0.000, 0.000, 0.000)

This record from Alexandria via LeMat-Bulk describes a relaxed structure of La3Nd5Ni2. The functional is PBE.

Values from the calculation:
The density comes out at 6425 kg/m³. As for the space group: Ibam, No. 72. As for the crystal system: orthorhombic. The formation enthalpy at 0 K comes out at -0.38 eV/f.u. The total energy is -5.056 eV per atom. For the density of states at the Fermi level, the calculation gives 14.7 states/eV/f.u.

a b c (Å): 7.855 10.158 10.158
angles (deg): 64.13 67.25 67.25
Fractional coordinates of all 20 atoms:
La (0.250, 0.000, 0.000)
La (0.750, 0.000, 0.000)
La (0.378, 0.387, 0.857)
La (0.622, 0.613, 0.143)
La (0.878, 0.857, 0.387)
La (0.122, 0.143, 0.613)
Nd (0.250, 0.500, 0.500)
Nd (0.750, 0.500, 0.500)
Nd (0.509, 0.741, 0.741)
Nd (0.991, 0.259, 0.259)
Nd (0.491, 0.259, 0.259)
Nd (0.009, 0.741, 0.741)
Nd (0.131, 0.608, 0.131)
Nd (0.869, 0.392, 0.869)
Nd (0.631, 0.131, 0.608)
Nd (0.369, 0.869, 0.392)
Ni (0.133, 0.870, 0.864)
Ni (0.867, 0.130, 0.136)
Ni (0.633, 0.864, 0.870)
Ni (0.367, 0.136, 0.130)

This record from Alexandria via LeMat-Bulk describes a relaxed structure of SnGeRh. The functional is PBE.

Values from the calculation:
The density comes out at 8716 kg/m³. The energy relative to the lowest polymorph listed for this composition comes out at 0.2953 eV per atom. As for the space group: P-6m2, No. 187. As for the crystal system: hexagonal. The formation enthalpy at 0 K comes out at -0.09 eV/f.u. The total energy is -5.355 eV per atom. For the density of states at the Fermi level, the calculation gives 2.7 states/eV/f.u.

a b c (Å): 3.239 4.470 4.470
angles (deg): 120.00 90.00 90.00
Fractional coordinates of all 3 atoms:
Ge (0.167, 0.000, 0.000)
Rh (0.167, 0.667, 0.333)
Sn (0.666, 0.333, 0.667)

This record from Alexandria via LeMat-Bulk describes a relaxed structure of AcMg3Hg3. The functional is PBE.

Values from the calculation:
The density comes out at 7491 kg/m³. The energy relative to the lowest polymorph listed for this composition comes out at 0.0918 eV per atom. As for the space group: R-3, No. 148. As for the crystal system: trigonal. The formation enthalpy at 0 K comes out at -1.35 eV/f.u. The total energy is -1.592 eV per atom. For the density of states at the Fermi level, the calculation gives 3.6 states/eV/f.u.

a b c (Å): 9.091 9.091 7.664
angles (deg): 53.62 53.62 60.00
Fractional coordinates of all 14 atoms:
Ac (0.328, 0.328, 0.016)
Ac (0.672, 0.672, 0.984)
Mg (0.413, 0.825, 0.626)
Mg (0.825, 0.137, 0.626)
Mg (0.137, 0.413, 0.626)
Mg (0.863, 0.587, 0.374)
Mg (0.175, 0.863, 0.374)
Mg (0.587, 0.175, 0.374)
Hg (0.246, 0.657, 0.148)
Hg (0.950, 0.246, 0.148)
Hg (0.657, 0.950, 0.148)
Hg (0.343, 0.050, 0.852)
Hg (0.050, 0.754, 0.852)
Hg (0.754, 0.343, 0.852)

This record from Alexandria via LeMat-Bulk describes a relaxed structure of Li2ThF8. The functional is PBE.

Values from the calculation:
The density comes out at 3830 kg/m³. As for the space group: I422, No. 97. As for the crystal system: tetragonal. The total energy is -5.185 eV per atom. The calculation puts the energy relative to the elements, uncorrected at -2.8013 eV/atom. For the density of states at the Fermi level, the calculation gives 10.3 states/eV/f.u.

a b c (Å): 5.515 5.515 6.883
angles (deg): 113.62 113.62 90.00
Last column: magnetic moment on the atom in μB.
Fractional coordinates of all 11 atoms:
Li (0.750, 0.250, 0.500)  0.00
Li (0.250, 0.750, 0.500)  0.00
Th (0.500, 0.500, 0.000)  -0.04
F (0.757, 0.313, 0.248)  0.23
F (0.065, 0.509, 0.752)  0.23
F (0.687, 0.243, 0.752)  0.23
F (0.243, 0.065, 0.752)  0.23
F (0.491, 0.935, 0.248)  0.23
F (0.935, 0.757, 0.248)  0.23
F (0.313, 0.491, 0.248)  0.23
F (0.509, 0.687, 0.752)  0.23

This record from Alexandria via LeMat-Bulk describes a relaxed structure of CdInN2O. The functional is PBE.

Values from the calculation:
The density comes out at 5564 kg/m³. As for the space group: P4/mmm, No. 123. As for the crystal system: tetragonal. The total energy is -3.664 eV per atom. The calculation puts the energy relative to the elements, uncorrected at 1.3880 eV/atom. For the density of states at the Fermi level, the calculation gives 2.7 states/eV/f.u.

a b c (Å): 4.284 4.284 4.411
angles (deg): 90.00 90.00 90.00
Last column: magnetic moment on the atom in μB.
Fractional coordinates of all 5 atoms:
N (0.000, 0.500, 0.000)  1.06
N (0.500, 0.000, 0.000)  1.06
Cd (0.000, 0.000, 0.000)  0.08
O (0.000, 0.000, 0.500)  0.43
In (0.500, 0.500, 0.500)  0.10

This record from Alexandria via LeMat-Bulk describes a relaxed structure of GaAg2TePb. The functional is PBE.

Values from the calculation:
The density comes out at 7342 kg/m³. As for the space group: P4/mmm, No. 123. As for the crystal system: tetragonal. The total energy is -2.834 eV per atom. The calculation puts the energy relative to the elements, uncorrected at 0.2821 eV/atom. For the density of states at the Fermi level, the calculation gives 3.1 states/eV/f.u.

a b c (Å): 4.906 5.828 4.906
angles (deg): 90.00 90.00 90.00
Fractional coordinates of all 5 atoms:
Pb (0.500, 0.500, 0.500)
Te (0.000, 0.500, 0.000)
Ga (0.000, 0.000, 0.000)
Ag (0.000, 0.000, 0.500)
Ag (0.500, 0.000, 0.000)

This record from Alexandria via LeMat-Bulk describes a relaxed structure of NaLiDy2Te4. The functional is PBE.

Values from the calculation:
The density comes out at 5882 kg/m³. As for the space group: P2/m, No. 10. As for the crystal system: monoclinic. The total energy is -4.421 eV per atom. The calculation puts the energy relative to the elements, uncorrected at -1.2952 eV/atom.

a b c (Å): 4.392 7.604 7.741
angles (deg): 109.10 90.00 90.00
Fractional coordinates of all 8 atoms:
Na (0.000, 0.000, 0.000)
Li (0.500, 0.500, 0.000)
Dy (0.500, 0.000, 0.500)
Dy (0.000, 0.500, 0.500)
Te (0.500, 0.257, 0.259)
Te (0.500, 0.743, 0.741)
Te (0.000, 0.252, 0.744)
Te (0.000, 0.748, 0.256)